An optimized crystal structure of NaHfSi2O, computed with PBEsol.

Cell lengths 3.908, 5.373, 5.373 Å; angles 90.00, 90.00, 90.00 degrees
Fractional coordinates of all 5 atoms:
O1 0.500 0.000 0.000
Si1 0.000 0.000 0.500
Si2 0.000 0.500 0.000
Na1 0.500 0.500 0.500
Hf1 0.000 0.000 0.000

Calculated values
Total magnetization (μB/cell): 0.00
Space group: No. 123
Formation energy from raw total energies (meV per atom): -314
E (eV per atom): -6.043